Record 1
A relaxed SrY2Ni crystal, computed with PBE-GGA.

Cell lengths 10.1439, 10.1439, 10.1439 Å; angles 21.75, 21.75, 21.75 degrees
Atoms (fractional coordinates):
Ni 0.5076 0.5076 0.5076
Y 0.9917 0.9917 0.9917
Y 0.2263 0.2263 0.2263
Sr 0.7744 0.7744 0.7744

Results
Energy relative to the lowest polymorph listed for this composition in eV/f.u.: 0.67
Raw total energy in eV/atom: -5.02
SG: R3m, No. 160
E_form in eV/atom: 0.08

---

Record 2
A relaxed Sr2Y2Ni crystal, computed with PBE-GGA.

Cell lengths 7.3246, 7.3246, 6.3927 Å; angles 90.00, 90.00, 90.00 degrees
Atoms (fractional coordinates):
Sr 0.1761 0.6761 0.5000
Sr 0.6761 0.8239 0.5000
Sr 0.3239 0.1761 0.5000
Sr 0.8239 0.3239 0.5000
Ni 0.0000 0.0000 0.0000
Ni 0.5000 0.5000 0.0000
Y 0.3319 0.8319 0.0000
Y 0.8319 0.6681 0.0000
Y 0.6681 0.1681 0.0000
Y 0.1681 0.3319 0.0000

Results
Raw total energy in eV/atom: -4.25
SG: P4/mbm, No. 127
E_form in eV/atom: 0.16

---

Record 3
A relaxed SrY2Ni crystal, computed with PBE-GGA.

Cell lengths 3.5039, 3.5039, 9.7058 Å; angles 90.00, 90.00, 89.95 degrees
Atoms (fractional coordinates):
Sr 0.5000 0.5000 0.7500
Ni 0.5000 0.5000 0.2500
Y 0.0000 0.0000 0.4143
Y 0.0000 0.0000 0.0857

Results
Energy relative to the lowest polymorph listed for this composition in eV/f.u.: 0.06
Raw total energy in eV/atom: -5.17
SG: P4/mmm, No. 123
E_form in eV/atom: -0.07